{"formula": "Ga2HgMo2", "functional": "PBE", "state": "optimized geometry", "cell": [[6.915, 0.000, 0.000], [0.000, 6.915, 0.000], [0.000, 0.000, 3.476]], "species": ["Mo", "Mo", "Mo", "Mo", "Hg", "Hg", "Ga", "Ga", "Ga", "Ga"], "fractional_positions": [[0.168, 0.668, 0.500], [0.668, 0.832, 0.500], [0.832, 0.332, 0.500], [0.332, 0.168, 0.500], [0.000, 0.000, 0.000], [0.500, 0.500, 0.000], [0.371, 0.871, 0.000], [0.871, 0.629, 0.000], [0.629, 0.129, 0.000], [0.129, 0.371, 0.000]], "spacegroup": "No. 127", "relative_energy_ev_per_atom": 0.169, "e_form_ev_per_atom": 0.33, "dft_energy_ev_per_cell": -52.709, "magnetic_moment_mub_per_cell": 2.40}